Entry 1:
4
Lattice="2.741 -4.087 0.000 2.741 4.087 0.000 0.000 0.000 2.770" Properties=species:S:1:pos:R:3 comment="CdMo2Os, PBEsol geometry, DFT meta-GGA SCAN" formation_enthalpy_0k_ev_per_atom=0.43 dft_energy_ev_per_atom=-42.591 m_tot_mub_per_cell=0.00 dos_ef_per_ev_cell=2.6 pbc="T T T"
Cd 0.000 0.000 0.000
Mo 1.370 2.044 1.385
Mo 1.370 -2.044 1.385
Os 2.741 0.000 0.000

---

Entry 2:
4
Lattice="4.261 0.000 0.000 0.000 4.261 0.000 0.000 0.000 2.736" Properties=species:S:1:pos:R:3 comment="Cr2AgP, PBEsol geometry, DFT meta-GGA SCAN" formation_enthalpy_0k_ev_per_atom=0.52 dft_energy_ev_per_atom=-19.115 m_tot_mub_per_cell=0.00 dos_ef_per_ev_cell=2.7 pbc="T T T"
Cr 0.000 2.131 0.000
Cr 2.131 0.000 0.000
Ag 0.000 0.000 1.368
P 2.131 2.131 1.368

---

Entry 3:
5
Lattice="4.337 0.000 0.000 0.000 4.337 0.000 0.000 0.000 4.337" Properties=species:S:1:pos:R:3 comment="Nb3AgB, PBEsol geometry, DFT meta-GGA SCAN" formation_enthalpy_0k_ev_per_atom=0.14 dft_energy_ev_per_atom=-27.500 m_tot_mub_per_cell=0.00 dos_ef_per_ev_cell=6.1 pbc="T T T"
Nb 0.000 0.000 2.168
Nb 0.000 2.168 0.000
Nb 2.168 0.000 0.000
Ag 2.168 2.168 2.168
B 0.000 0.000 0.000

---

Entry 4:
4
Lattice="-1.885 1.885 4.423 1.885 -1.885 4.423 1.885 1.885 -4.423" Properties=species:S:1:pos:R:3 comment="YCo2Br, PBEsol geometry, DFT meta-GGA SCAN" dft_energy_ev_per_atom=-20.069 m_tot_mub_per_cell=3.25 dos_ef_per_ev_cell=3.3 pbc="T T T"
Y 0.000 0.000 0.000
Co 1.885 0.000 2.211
Co 0.000 0.000 4.423
Br 0.000 1.885 2.211

---

Entry 5:
4
Lattice="4.705 -1.471 0.000 4.705 1.471 0.000 -1.246 0.000 4.603" Properties=species:S:1:pos:R:3 comment="CdNiAu2, PBEsol geometry, DFT meta-GGA SCAN" formation_enthalpy_0k_ev_per_atom=0.01 dft_energy_ev_per_atom=-46.213 m_tot_mub_per_cell=0.00 dos_ef_per_ev_cell=1.8 pbc="T T T"
Cd 0.000 0.000 0.000
Ni 4.082 0.000 2.301
Au 1.295 0.000 3.387
Au 6.868 0.000 1.215

---

Entry 6:
4
Lattice="-1.666 2.263 4.407 1.666 -2.263 4.407 1.666 2.263 -4.407" Properties=species:S:1:pos:R:3 comment="Ta2CrIn, PBEsol geometry, DFT meta-GGA SCAN" formation_enthalpy_0k_ev_per_atom=0.12 dft_energy_ev_per_atom=-46.112 m_tot_mub_per_cell=0.00 dos_ef_per_ev_cell=2.4 pbc="T T T"
Ta 0.000 0.000 1.993
Ta 0.000 0.000 6.822
Cr 1.666 0.000 0.000
In 0.000 2.263 0.000

---

Entry 7:
4
Lattice="1.774 -3.658 0.000 1.774 3.658 0.000 0.000 0.000 8.031" Properties=species:S:1:pos:R:3 comment="AsPBr2, PBEsol geometry, DFT meta-GGA SCAN" dft_energy_ev_per_atom=-17.016 m_tot_mub_per_cell=0.00 dos_ef_per_ev_cell=1.6 pbc="T T T"
As 0.000 0.000 0.000
P 1.774 0.000 6.556
Br 0.000 0.000 4.577
Br 1.774 0.000 2.100

---

Entry 8:
8
Lattice="5.063 0.000 0.000 -2.531 4.385 0.000 0.000 0.000 4.056" Properties=species:S:1:pos:R:3 comment="TaCo6Mo, PBEsol geometry, DFT meta-GGA SCAN" formation_enthalpy_0k_ev_per_atom=0.01 dft_energy_ev_per_atom=-25.652 m_tot_mub_per_cell=2.86 dos_ef_per_ev_cell=2.4 pbc="T T T"
Ta 0.000 0.000 0.000
Co 1.337 0.772 2.028
Co 2.531 0.044 0.000
Co 1.304 2.170 0.000
Co 3.726 0.772 2.028
Co 2.531 2.841 2.028
Co 3.759 2.170 0.000
Mo 0.000 2.923 2.028

---

Entry 9:
8
Lattice="-2.262 2.262 10.803 2.262 -2.262 10.803 2.262 2.262 -10.803" Properties=species:S:1:pos:R:3 comment="Na2SnSb, PBEsol geometry, DFT meta-GGA SCAN" dft_energy_ev_per_atom=-20.531 m_tot_mub_per_cell=0.00 dos_ef_per_ev_cell=3.0 pbc="T T T"
Na 3.392 1.122 -2.701
Na 1.122 1.131 2.701
Na -1.131 1.139 8.103
Na 1.139 1.131 13.504
Sn 2.262 0.000 5.402
Sn 0.000 0.000 10.803
Sb 0.000 0.000 0.000
Sb 0.000 2.262 5.402

---

Entry 10:
3
Lattice="4.147 0.000 0.000 -2.073 3.591 0.000 0.000 0.000 4.268" Properties=species:S:1:pos:R:3 comment="ZnAgTe, PBEsol geometry, DFT meta-GGA SCAN" dft_energy_ev_per_atom=-27.309 m_tot_mub_per_cell=0.00 dos_ef_per_ev_cell=0.8 pbc="T T T"
Zn 0.000 0.000 0.000
Ag 0.000 2.394 3.035
Te 2.073 1.197 1.410

---

Entry 11:
4
Lattice="-2.266 2.266 3.227 2.266 -2.266 3.227 2.266 2.266 -3.227" Properties=species:S:1:pos:R:3 comment="TaPtCl2, PBEsol geometry, DFT meta-GGA SCAN" dft_energy_ev_per_atom=-37.969 m_tot_mub_per_cell=0.99 dos_ef_per_ev_cell=2.6 pbc="T T T"
Ta 0.000 0.000 0.000
Pt 2.266 0.000 1.614
Cl 0.000 0.000 3.227
Cl 0.000 2.266 1.614

---

Entry 12:
4
Lattice="0.000 3.555 3.555 3.555 0.000 3.555 3.555 3.555 0.000" Properties=species:S:1:pos:R:3 comment="SiTeBr2, PBEsol geometry, DFT meta-GGA SCAN" dft_energy_ev_per_atom=-21.091 m_tot_mub_per_cell=0.00 dos_ef_per_ev_cell=2.9 pbc="T T T"
Si 0.000 0.000 0.000
Te 1.778 1.778 1.778
Br 3.555 3.555 3.555
Br 5.333 5.333 5.333

---

Entry 13:
3
Lattice="0.000 3.734 3.734 3.734 0.000 3.734 3.734 3.734 0.000" Properties=species:S:1:pos:R:3 comment="KSrSe, PBEsol geometry, DFT meta-GGA SCAN" dft_energy_ev_per_atom=-18.089 m_tot_mub_per_cell=0.91 dos_ef_per_ev_cell=0.6 pbc="T T T"
K 0.000 0.000 0.000
Sr 3.734 3.734 3.734
Se 5.600 5.600 5.600

---

Entry 14:
4
Lattice="-1.438 2.248 4.395 1.438 -2.248 4.395 1.438 2.248 -4.395" Properties=species:S:1:pos:R:3 comment="Cr2HgIr, PBEsol geometry, DFT meta-GGA SCAN" formation_enthalpy_0k_ev_per_atom=0.25 dft_energy_ev_per_atom=-43.763 m_tot_mub_per_cell=0.11 dos_ef_per_ev_cell=2.8 pbc="T T T"
Cr 0.000 0.000 0.000
Cr 0.000 2.248 2.694
Hg 0.000 0.000 4.704
Ir 1.438 0.000 2.198

---

Entry 15:
8
Lattice="-2.567 2.567 6.671 2.567 -2.567 6.671 2.567 2.567 -6.671" Properties=species:S:1:pos:R:3 comment="NaCoSi2, PBEsol geometry, DFT meta-GGA SCAN" dft_energy_ev_per_atom=-10.216 m_tot_mub_per_cell=0.00 dos_ef_per_ev_cell=2.3 pbc="T T T"
Na 2.567 1.284 1.668
Na 0.000 1.284 5.003
Co 2.567 -1.284 5.003
Co 0.000 3.851 1.668
Si 0.000 0.000 0.000
Si 1.284 1.284 -3.336
Si 1.284 -1.284 3.336
Si 0.000 2.567 0.000

---

Entry 16:
4
Lattice="0.000 3.406 3.406 3.406 0.000 3.406 3.406 3.406 0.000" Properties=species:S:1:pos:R:3 comment="TiGa2Br, PBEsol geometry, DFT meta-GGA SCAN" dft_energy_ev_per_atom=-16.529 m_tot_mub_per_cell=1.06 dos_ef_per_ev_cell=2.4 pbc="T T T"
Ti 0.000 0.000 0.000
Ga 1.703 1.703 1.703
Ga 5.109 5.109 5.109
Br 3.406 3.406 3.406

---

Entry 17:
4
Lattice="-2.363 2.363 5.158 2.363 -2.363 5.158 2.363 2.363 -5.158" Properties=species:S:1:pos:R:3 comment="Ca2YAg, PBEsol geometry, DFT meta-GGA SCAN" formation_enthalpy_0k_ev_per_atom=0.12 dft_energy_ev_per_atom=-19.518 m_tot_mub_per_cell=0.00 dos_ef_per_ev_cell=5.3 pbc="T T T"
Ca 0.000 0.000 0.000
Ca 0.000 2.363 2.579
Y 0.000 0.000 5.158
Ag 2.363 0.000 2.579

---

Entry 18:
4
Lattice="2.949 0.000 0.000 0.000 2.949 0.000 0.000 0.000 7.792" Properties=species:S:1:pos:R:3 comment="Ag2IrSe, PBEsol geometry, DFT meta-GGA SCAN" dft_energy_ev_per_atom=-38.204 m_tot_mub_per_cell=0.00 dos_ef_per_ev_cell=2.2 pbc="T T T"
Ag 0.000 0.000 0.000
Ag 1.475 1.475 1.936
Ir 0.000 0.000 3.964
Se 1.475 1.475 5.386

---

Entry 19:
4
Lattice="3.206 0.000 0.000 0.000 5.748 0.000 -0.001 0.000 5.749" Properties=species:S:1:pos:R:3 comment="AlSb2Pb, PBEsol geometry, DFT meta-GGA SCAN" dft_energy_ev_per_atom=-39.367 m_tot_mub_per_cell=0.00 dos_ef_per_ev_cell=2.1 pbc="T T T"
Al 0.000 0.000 0.000
Sb 0.548 2.874 0.009
Sb 2.658 0.000 2.876
Pb 1.603 2.874 2.884

---

Entry 20:
4
Lattice="0.000 3.257 3.257 3.257 0.000 3.257 3.257 3.257 0.000" Properties=species:S:1:pos:R:3 comment="CsMo2Os, PBEsol geometry, DFT meta-GGA SCAN" formation_enthalpy_0k_ev_per_atom=1.86 dft_energy_ev_per_atom=-43.006 m_tot_mub_per_cell=0.00 dos_ef_per_ev_cell=3.7 pbc="T T T"
Cs 0.000 0.000 0.000
Mo 1.628 1.628 1.628
Mo 4.885 4.885 4.885
Os 3.257 3.257 3.257

---

Entry 21:
4
Lattice="0.000 3.096 3.096 3.096 0.000 3.096 3.096 3.096 0.000" Properties=species:S:1:pos:R:3 comment="Sc2CoNi, PBEsol geometry, DFT meta-GGA SCAN" formation_enthalpy_0k_ev_per_atom=-0.46 dft_energy_ev_per_atom=-15.944 m_tot_mub_per_cell=1.11 dos_ef_per_ev_cell=1.1 pbc="T T T"
Sc 1.548 1.548 1.548
Sc 4.645 4.645 4.645
Co 0.000 0.000 0.000
Ni 3.096 3.096 3.096

---

Entry 22:
3
Lattice="-1.570 1.570 6.020 1.570 -1.570 6.020 1.570 1.570 -6.020" Properties=species:S:1:pos:R:3 comment="SbMoAs, PBEsol geometry, DFT meta-GGA SCAN" dft_energy_ev_per_atom=-30.699 m_tot_mub_per_cell=0.00 dos_ef_per_ev_cell=1.5 pbc="T T T"
Sb 0.000 0.000 0.000
Mo 0.000 0.000 4.128
As 0.000 0.000 8.820

---

Entry 23:
5
Lattice="-1.643 1.643 7.468 1.643 -1.643 7.468 1.643 1.643 -7.468" Properties=species:S:1:pos:R:3 comment="ReTc2W2, PBEsol geometry, DFT meta-GGA SCAN" formation_enthalpy_0k_ev_per_atom=0.77 dft_energy_ev_per_atom=-55.347 m_tot_mub_per_cell=0.00 dos_ef_per_ev_cell=4.1 pbc="T T T"
Re 0.000 0.000 0.000
Tc 1.643 0.000 3.734
Tc 0.000 1.643 3.734
W 0.000 0.000 6.004
W 0.000 0.000 8.931

---

Entry 24:
4
Lattice="0.000 3.813 3.813 3.813 0.000 3.813 3.813 3.813 0.000" Properties=species:S:1:pos:R:3 comment="CsNaS2, PBEsol geometry, DFT meta-GGA SCAN" dft_energy_ev_per_atom=-15.735 m_tot_mub_per_cell=2.00 dos_ef_per_ev_cell=2.4 pbc="T T T"
Cs 0.000 0.000 0.000
Na 3.813 3.813 3.813
S 1.907 1.907 1.907
S 5.720 5.720 5.720

---

Entry 25:
4
Lattice="4.743 -1.441 0.000 4.743 1.441 0.000 -0.435 0.000 4.830" Properties=species:S:1:pos:R:3 comment="TaAl2As, PBEsol geometry, DFT meta-GGA SCAN" formation_enthalpy_0k_ev_per_atom=-0.08 dft_energy_ev_per_atom=-25.654 m_tot_mub_per_cell=0.03 dos_ef_per_ev_cell=2.2 pbc="T T T"
Ta 0.000 0.000 0.000
Al 2.153 0.000 3.572
Al 4.643 0.000 2.469
As 6.893 0.000 1.029

---

Entry 26:
4
Lattice="-2.236 2.236 4.471 2.236 -2.236 4.471 2.236 2.236 -4.471" Properties=species:S:1:pos:R:3 comment="CdTeCl2, PBEsol geometry, DFT meta-GGA SCAN" dft_energy_ev_per_atom=-20.937 m_tot_mub_per_cell=0.00 dos_ef_per_ev_cell=3.5 pbc="T T T"
Cd 0.000 0.000 0.000
Te 0.000 0.000 4.471
Cl 2.236 0.000 2.235
Cl 0.000 2.236 2.235

---

Entry 27:
5
Lattice="4.698 0.000 0.000 0.000 4.698 0.000 0.000 0.000 4.698" Properties=species:S:1:pos:R:3 comment="PtS3Br, PBEsol geometry, DFT meta-GGA SCAN" dft_energy_ev_per_atom=-21.947 m_tot_mub_per_cell=2.37 dos_ef_per_ev_cell=4.2 pbc="T T T"
Pt 0.000 0.000 0.000
S 0.000 2.349 2.349
S 2.349 0.000 2.349
S 2.349 2.349 0.000
Br 2.349 2.349 2.349

---

Entry 28:
5
Lattice="5.482 0.000 0.000 0.000 5.482 0.000 0.000 0.000 5.284" Properties=species:S:1:pos:R:3 comment="Ca2HfHgMo, PBEsol geometry, DFT meta-GGA SCAN" formation_enthalpy_0k_ev_per_atom=1.00 dft_energy_ev_per_atom=-36.009 m_tot_mub_per_cell=5.06 dos_ef_per_ev_cell=5.6 pbc="T T T"
Ca 0.000 2.741 0.000
Ca 2.741 0.000 0.000
Hf 0.000 0.000 2.642
Hg 0.000 0.000 0.000
Mo 2.741 2.741 2.642

---

Entry 29:
5
Lattice="4.465 0.000 0.000 0.000 4.465 0.000 0.000 0.000 3.671" Properties=species:S:1:pos:R:3 comment="CdPtNF2, PBEsol geometry, DFT meta-GGA SCAN" dft_energy_ev_per_atom=-23.670 m_tot_mub_per_cell=0.00 dos_ef_per_ev_cell=2.4 pbc="T T T"
Cd 0.000 0.000 0.000
Pt 2.232 2.232 1.835
N 2.232 2.232 0.000
F 0.000 2.232 1.835
F 2.232 0.000 1.835